VASP calculation (PBE) on crystalline SrBiP2O at its relaxed geometry.

Output
The formation energy (no corrections) is -0.129 eV per atom. The value obtained for the polymorph energy (0 for the lowest one) is 0.0 meV per atom. Its final energy is -4.397 eV per atom. The value obtained for the density of states at the Fermi level is 4.95 states/eV per cell.

Cell lengths 5.348, 5.348, 4.337 Å; angles 90.00, 90.00, 90.00 degrees
Fractional positions:
Sr1 0.000 0.000 0.000
Bi1 0.500 0.500 0.500
P1 0.000 0.500 0.500
P2 0.500 0.000 0.500
O1 0.500 0.500 0.000